A relaxed structure of LiAu, computed with PBE-GGA.

Output
The calculation puts the calculated formation energy at -494 meV/atom. The crystal system is orthorhombic.

Cell lengths 2.819, 10.162, 4.360 Å; angles 90.00, 90.00, 90.00 degrees
Positions (direct):
Li: 0.000 0.075 0.250
Li: 0.000 0.925 0.750
Li: 0.500 0.425 0.750
Li: 0.500 0.575 0.250
Au: 0.000 0.339 0.250
Au: 0.000 0.661 0.750
Au: 0.500 0.161 0.750
Au: 0.500 0.839 0.250

---

A relaxed structure of TaTl2As, computed with PBE-GGA.

Output
The calculation puts the calculated formation energy at 686 meV/atom. The crystal system is tetragonal.

Cell lengths 3.072, 3.072, 9.493 Å; angles 90.00, 90.00, 90.00 degrees
Positions (direct):
Ta: 0.000 0.000 0.000
Tl: 0.500 0.500 0.242
Tl: 0.500 0.500 0.758
As: 0.000 0.000 0.500

---

A relaxed structure of K2LiS, computed with PBE-GGA.

Output
The uncorrected formation energy is -0.21 eV/atom. The crystal system is tetragonal.

Cell lengths 5.111, 5.111, 21.300 Å; angles 90.00, 90.00, 90.00 degrees
Positions (direct):
K: 0.200 0.250 0.125
K: 0.250 0.700 0.375
K: 0.250 0.800 0.875
K: 0.300 0.250 0.625
K: 0.700 0.750 0.625
K: 0.750 0.200 0.875
K: 0.750 0.300 0.375
K: 0.800 0.750 0.125
Li: 0.000 0.000 0.500
Li: 0.000 0.500 0.750
Li: 0.500 0.000 0.250
Li: 0.500 0.500 0.000
S: 0.000 0.000 0.000
S: 0.000 0.500 0.250
S: 0.500 0.000 0.750
S: 0.500 0.500 0.500

---

A relaxed structure of Tb3HgPb, computed with PBE-GGA.

Output
The calculation puts the calculated formation energy at -375 meV/atom. The crystal system is monoclinic.

Cell lengths 10.996, 10.996, 6.961 Å; angles 108.36, 108.36, 48.80 degrees
Positions (direct):
Tb: 0.010 0.265 0.637
Tb: 0.200 0.703 0.951
Tb: 0.265 0.010 0.137
Tb: 0.297 0.800 0.549
Tb: 0.321 0.322 0.071
Tb: 0.322 0.321 0.571
Tb: 0.678 0.679 0.429
Tb: 0.679 0.678 0.929
Tb: 0.703 0.200 0.451
Tb: 0.735 0.990 0.863
Tb: 0.800 0.297 0.049
Tb: 0.990 0.735 0.363
Hg: 0.000 0.000 0.250
Hg: 0.000 0.000 0.750
Hg: 0.500 0.500 0.250
Hg: 0.500 0.500 0.750
Pb: 0.018 0.405 0.212
Pb: 0.405 0.018 0.712
Pb: 0.595 0.982 0.288
Pb: 0.982 0.595 0.788

---

A relaxed structure of Sr2PPd6Pb, computed with PBE-GGA.

Output
The calculation puts the calculated formation energy at -598 meV/atom. The crystal system is orthorhombic.

Cell lengths 5.793, 9.033, 8.328 Å; angles 90.00, 90.00, 90.00 degrees
Positions (direct):
Sr: 0.250 0.013 0.227
Sr: 0.250 0.487 0.227
Sr: 0.750 0.513 0.773
Sr: 0.750 0.987 0.773
P: 0.250 0.250 0.716
P: 0.750 0.750 0.284
Pd: 0.008 0.250 0.938
Pd: 0.009 0.750 0.502
Pd: 0.250 0.006 0.607
Pd: 0.250 0.494 0.607
Pd: 0.491 0.750 0.502
Pd: 0.492 0.250 0.938
Pd: 0.508 0.750 0.062
Pd: 0.509 0.250 0.498
Pd: 0.750 0.506 0.393
Pd: 0.750 0.994 0.393
Pd: 0.991 0.250 0.498
Pd: 0.992 0.750 0.062
Pb: 0.250 0.750 0.792
Pb: 0.750 0.250 0.208

---

A relaxed structure of AcIn2SbO8, computed with PBE-GGA.

Output
The uncorrected formation energy is -1.58 eV/atom. The crystal system is monoclinic.

Cell lengths 4.822, 7.257, 4.881 Å; angles 90.00, 93.93, 90.00 degrees
Positions (direct):
Ac: 0.000 0.000 0.000
In: 0.500 0.268 0.500
In: 0.500 0.732 0.500
Sb: 0.000 0.500 0.000
O: 0.218 0.500 0.649
O: 0.243 0.294 0.138
O: 0.243 0.706 0.138
O: 0.261 0.000 0.546
O: 0.739 0.000 0.454
O: 0.757 0.294 0.862
O: 0.757 0.706 0.862
O: 0.782 0.500 0.351

---

A relaxed structure of HoMg12Cd6, computed with PBE-GGA.

Output
The calculation puts the calculated formation energy at 45 meV/atom. The crystal system is trigonal.

Cell lengths 8.071, 8.071, 8.071 Å; angles 104.90, 104.90, 104.90 degrees
Positions (direct):
Ho: 0.000 0.000 0.000
Mg: 0.113 0.500 0.887
Mg: 0.113 0.887 0.500
Mg: 0.136 0.384 0.384
Mg: 0.384 0.136 0.384
Mg: 0.384 0.384 0.136
Mg: 0.500 0.113 0.887
Mg: 0.500 0.887 0.113
Mg: 0.616 0.616 0.864
Mg: 0.616 0.864 0.616
Mg: 0.864 0.616 0.616
Mg: 0.887 0.113 0.500
Mg: 0.887 0.500 0.113
Cd: 0.284 0.284 0.709
Cd: 0.284 0.709 0.284
Cd: 0.291 0.716 0.716
Cd: 0.709 0.284 0.284
Cd: 0.716 0.291 0.716
Cd: 0.716 0.716 0.291

---

A relaxed structure of Ba2TmBiO5, computed with PBE-GGA.

Output
The uncorrected formation energy is -2.42 eV/atom. The crystal system is orthorhombic.

Cell lengths 8.160, 8.160, 11.290 Å; angles 90.00, 90.00, 154.02 degrees
Positions (direct):
Ba: 0.112 0.888 0.500
Ba: 0.133 0.867 0.115
Ba: 0.867 0.133 0.615
Ba: 0.888 0.112 0.000
Tm: 0.221 0.779 0.837
Tm: 0.779 0.221 0.337
Bi: 0.460 0.540 0.284
Bi: 0.540 0.460 0.784
O: 0.080 0.920 0.882
O: 0.274 0.726 0.461
O: 0.326 0.674 0.216
O: 0.354 0.646 0.806
O: 0.497 0.503 0.094
O: 0.503 0.497 0.594
O: 0.646 0.354 0.306
O: 0.674 0.326 0.716
O: 0.726 0.274 0.961
O: 0.920 0.080 0.382